This record from the Alexandria database describes a relaxed IrOs3Rh crystal. The functional is PBE-GGA.

Lattice parameters (Å, degrees): 4.726 5.456 6.092 76.88 75.01 73.29
Sites, in units of the cell vectors:
1 Ir 0.104 0.147 0.302
2 Ir 0.896 0.853 0.698
3 Os 0.097 0.652 0.304
4 Os 0.298 0.951 0.899
5 Os 0.496 0.250 0.501
6 Os 0.504 0.750 0.499
7 Os 0.702 0.049 0.101
8 Os 0.903 0.348 0.696
9 Rh 0.304 0.448 0.900
10 Rh 0.696 0.552 0.100

* magnetization: 0.000 μB per atom
* SG: P-1
* final energy: -9.91 eV per atom
* E above lowest polymorph: 0 meV per atom
* volume: 143 Å³ per cell
* calculated formation energy: 0.072 eV per atom